[1]
First-principles (PBE) data for an optimized crystal structure of TcHF2, as listed in Alexandria.

POSCAR file:
```
TcHF2
1.0
-1.2367 -0.8798 3.4091
-2.6465 -2.5984 0.4117
0.8521 -3.3102 1.4972
F Tc H
2 1 1
Direct
0.7500 0.7500 0.7500 F
0.2500 0.2500 0.2500 F
0.5000 0.5000 0.5000 Tc
0.0000 0.0000 0.0000 H
```

Results
The mass density is 6.2 Mg/m³. The calculation puts the total magnetization at 1.430 μB/f.u. As for the polymorph energy (0 for the lowest one): 645 meV/atom.



[2]
First-principles (PBE) data for an optimized crystal structure of TcH2F6, as listed in Alexandria.

POSCAR file:
```
TcH2F6
1.0
-0.5623 2.3743 -3.9116
-4.2117 1.3706 -1.2795
-0.9373 5.6836 0.8678
F H Tc
6 2 1
Direct
0.2992 0.5781 0.2292 F
0.4522 0.0467 0.7716 F
0.5781 0.8935 0.2292 F
0.7294 0.4522 0.7716 F
0.0467 0.7294 0.7716 F
0.8935 0.2992 0.2292 F
0.5888 0.5888 0.2337 H
0.7447 0.7447 0.7658 H
0.3330 0.3330 0.0010 Tc
```

Results
The mass density is 3.7 Mg/m³. The calculation puts the total magnetization at 3.000 μB/f.u. As for the polymorph energy (0 for the lowest one): 140 meV/atom.



[3]
First-principles (PBE) data for an optimized crystal structure of TcHF3, as listed in Alexandria.

POSCAR file:
```
TcHF3
1.0
-3.4641 -0.9832 -0.4531
-0.4256 -0.1600 3.6008
-0.9955 3.4900 0.0374
Tc H F
1 1 3
Direct
0.5000 0.5000 0.5000 Tc
0.0000 0.0000 0.0000 H
0.5000 0.0000 0.0000 F
0.0000 0.0000 0.5000 F
0.0000 0.5000 0.0000 F
```

Results
The mass density is 5.4 Mg/m³. The calculation puts the total magnetization at 5.000 μB/f.u. As for the polymorph energy (0 for the lowest one): 314 meV/atom.



[4]
First-principles (PBE) data for an optimized crystal structure of Tc2HF, as listed in Alexandria.

POSCAR file:
```
Tc2HF
1.0
0.1920 0.2481 3.9077
-3.2284 0.8023 2.0741
-1.6424 -2.7797 2.2236
Tc H F
2 1 1
Direct
0.7500 0.7500 0.7500 Tc
0.2500 0.2500 0.2500 Tc
0.0000 0.0000 0.0000 H
0.5000 0.5000 0.5000 F
```

Results
The mass density is 8.4 Mg/m³. The calculation puts the total magnetization at 0.000 μB/f.u. As for the polymorph energy (0 for the lowest one): 619 meV/atom.



[5]
First-principles (PBE) data for an optimized crystal structure of TcH3F, as listed in Alexandria.

POSCAR file:
```
TcH3F
1.0
3.3360 0.0000 0.0000
0.0000 3.3360 0.0000
0.0000 0.0000 3.3360
H Tc F
3 1 1
Direct
0.0000 0.5000 0.0000 H
0.5000 0.0000 0.0000 H
0.0000 0.0000 0.5000 H
0.5000 0.5000 0.5000 Tc
0.0000 0.0000 0.0000 F
```

Results
The mass density is 5.4 Mg/m³. The calculation puts the total magnetization at 2.183 μB/f.u. As for the polymorph energy (0 for the lowest one): 683 meV/atom.



[6]
First-principles (PBE) data for an optimized crystal structure of TcH3F, as listed in Alexandria.

POSCAR file:
```
TcH3F
1.0
3.5242 0.0000 0.0000
0.0000 3.5242 0.0000
0.0000 0.0000 3.5242
Tc H F
1 3 1
Direct
0.0000 0.0000 0.0000 Tc
0.5000 0.0000 0.0000 H
0.0000 0.0000 0.5000 H
0.0000 0.5000 0.0000 H
0.5000 0.5000 0.5000 F
```

Results
The mass density is 4.6 Mg/m³. The calculation puts the total magnetization at 3.000 μB/f.u. As for the polymorph energy (0 for the lowest one): 0 meV/atom.



[7]
First-principles (PBE) data for an optimized crystal structure of TcHF2, as listed in Alexandria.

POSCAR file:
```
TcHF2
1.0
2.8541 5.3643 1.2025
4.8291 3.6483 1.3180
4.0427 4.5858 -0.9974
F H Tc
2 1 1
Direct
0.1135 0.1135 0.1135 F
0.8865 0.8865 0.8865 F
0.5000 0.5000 0.5000 H
0.0000 0.0000 0.0000 Tc
```

Results
The mass density is 6.4 Mg/m³. The calculation puts the total magnetization at 0.000 μB/f.u. As for the polymorph energy (0 for the lowest one): 173 meV/atom.



[8]
First-principles (PBE) data for an optimized crystal structure of TcHF2, as listed in Alexandria.

POSCAR file:
```
TcHF2
1.0
-4.4111 -0.1542 -0.1849
0.2337 -3.5584 -2.6075
-2.1378 -4.0714 1.6223
H F Tc
2 4 2
Direct
0.2500 0.7500 0.5000 H
0.5000 0.5000 0.0000 H
0.4681 0.1250 0.2500 F
0.2819 0.6250 0.2500 F
0.8750 0.7181 0.7500 F
0.3750 0.5319 0.7500 F
0.7500 0.2500 0.5000 Tc
0.0000 0.0000 0.0000 Tc
```

Results
The mass density is 6.2 Mg/m³. The calculation puts the total magnetization at 1.160 μB/f.u. As for the polymorph energy (0 for the lowest one): 590 meV/atom.



[9]
First-principles (PBE) data for an optimized crystal structure of Tc3HF, as listed in Alexandria.

POSCAR file:
```
Tc3HF
1.0
-1.6975 1.8221 -3.0026
-0.9626 -3.4485 -1.5485
-3.3777 0.0672 1.9503
Tc F H
3 1 1
Direct
0.0000 0.5000 0.0000 Tc
0.5000 0.0000 0.0000 Tc
0.0000 0.0000 0.5000 Tc
0.5000 0.5000 0.5000 F
0.0000 0.0000 0.0000 H
```

Results
The mass density is 8.8 Mg/m³. The calculation puts the total magnetization at 0.000 μB/f.u. As for the polymorph energy (0 for the lowest one): 0 meV/atom.



[10]
First-principles (PBE) data for an optimized crystal structure of TcH6F12, as listed in Alexandria.

POSCAR file:
```
TcH6F12
1.0
-2.4905 -5.2984 2.7836
0.2415 -1.4671 -6.3140
6.2038 0.0360 1.8792
F Tc H
12 1 6
Direct
0.9151 0.6986 0.9806 F
0.2367 0.5707 0.6851 F
0.3148 0.7633 0.4293 F
0.0189 0.0844 0.3015 F
0.5707 0.6851 0.2366 F
0.6852 0.2367 0.5707 F
0.7633 0.4293 0.3149 F
0.4293 0.3149 0.7634 F
0.9811 0.9156 0.6985 F
0.3015 0.0188 0.0847 F
0.6985 0.9812 0.9153 F
0.0849 0.3014 0.0194 F
0.0000 0.0000 0.0000 Tc
0.5757 0.2711 0.6506 H
0.2710 0.6505 0.5757 H
0.6506 0.5757 0.2710 H
0.4243 0.7289 0.3494 H
0.7290 0.3495 0.4243 H
0.3494 0.4243 0.7290 H
```

Results
The mass density is 2.3 Mg/m³. The calculation puts the total magnetization at 1.000 μB/f.u. Its raw total energy is -4.507 eV per atom.



[11]
First-principles (PBE) data for an optimized crystal structure of TcHF2, as listed in Alexandria.

POSCAR file:
```
TcHF2
1.0
2.8671 2.2939 5.3593
4.2818 0.0913 4.8849
4.8668 2.3494 3.6055
H F Tc
1 2 1
Direct
0.0000 0.0000 0.0000 H
0.9393 0.9393 0.9393 F
0.0607 0.0607 0.0607 F
0.5000 0.5000 0.5000 Tc
```

Results
The mass density is 5.9 Mg/m³. The calculation puts the total magnetization at 0.000 μB/f.u. As for the polymorph energy (0 for the lowest one): 0 meV/atom.



[12]
First-principles (PBE) data for an optimized crystal structure of TcHF3, as listed in Alexandria.

POSCAR file:
```
TcHF3
1.0
-3.1661 2.1266 -1.5936
-0.0254 -2.5029 -3.2896
-2.6573 -2.5099 1.9301
F Tc H
3 1 1
Direct
0.0000 0.0000 0.5000 F
0.0000 0.5000 0.0000 F
0.5000 0.0000 0.0000 F
0.0000 0.0000 0.0000 Tc
0.5000 0.5000 0.5000 H
```

Results
The mass density is 3.7 Mg/m³. The calculation puts the total magnetization at 4.199 μB/f.u. As for the polymorph energy (0 for the lowest one): 0 meV/atom.



[13]
First-principles (PBE) data for an optimized crystal structure of Tc2HF8, as listed in Alexandria.

POSCAR file:
```
Tc2HF8
1.0
-3.5226 -1.0889 1.8186
4.7286 -2.1793 4.6364
3.0879 3.7441 5.0052
Tc F H
2 8 1
Direct
0.7700 0.7804 0.7804 Tc
0.2300 0.2196 0.2196 Tc
0.7304 0.2210 0.2210 F
0.3414 0.3714 0.3714 F
0.2696 0.7790 0.7790 F
0.1297 0.2780 0.9063 F
0.8703 0.7220 0.0937 F
0.8703 0.0937 0.7220 F
0.1297 0.9063 0.2780 F
0.6586 0.6286 0.6286 F
0.0000 0.0000 0.0000 H
```

Results
The mass density is 3.8 Mg/m³. The calculation puts the total magnetization at 4.993 μB/f.u. Its raw total energy is -4.995 eV per atom.



[14]
First-principles (PBE) data for an optimized crystal structure of TcH2F6, as listed in Alexandria.

POSCAR file:
```
TcH2F6
1.0
4.3746 0.0129 0.6370
0.8254 7.1682 1.2124
-0.0422 0.3179 7.3097
F Tc H
12 2 4
Direct
0.8727 0.8783 0.3153 F
0.1273 0.1217 0.6847 F
0.8599 0.1986 0.0396 F
0.3727 0.3153 0.8783 F
0.3599 0.0396 0.1986 F
0.8619 0.5729 0.6931 F
0.1401 0.8014 0.9604 F
0.6273 0.6847 0.1217 F
0.6381 0.3069 0.4271 F
0.3619 0.6931 0.5729 F
0.1381 0.4271 0.3069 F
0.6401 0.9604 0.8014 F
0.7500 0.9250 0.0750 Tc
0.2500 0.0750 0.9250 Tc
0.6617 0.6195 0.6451 H
0.1617 0.6451 0.6195 H
0.3383 0.3805 0.3549 H
0.8383 0.3549 0.3805 H
```

Results
The mass density is 3.1 Mg/m³. The calculation puts the total magnetization at 0.000 μB/f.u. As for the polymorph energy (0 for the lowest one): 0 meV/atom.



[15]
First-principles (PBE) data for an optimized crystal structure of Tc2HF, as listed in Alexandria.

POSCAR file:
```
Tc2HF
1.0
-4.2693 -1.0332 -1.5162
-1.1622 -1.4485 4.2596
-4.0164 2.6919 2.3541
F Tc H
2 4 2
Direct
0.0000 0.0000 0.0000 F
0.7500 0.2500 0.5000 F
0.8750 0.7768 0.7500 Tc
0.3750 0.4732 0.7500 Tc
0.2232 0.6250 0.2500 Tc
0.5268 0.1250 0.2500 Tc
0.5000 0.5000 0.0000 H
0.2500 0.7500 0.5000 H
```

Results
The mass density is 7.8 Mg/m³. The calculation puts the total magnetization at 0.000 μB/f.u. As for the polymorph energy (0 for the lowest one): 0 meV/atom.



[16]
First-principles (PBE) data for an optimized crystal structure of TlTcH2F8, as listed in Alexandria.

POSCAR file:
```
TlTcH2F8
1.0
4.9460 0.8687 0.4199
0.9680 4.9238 -0.1158
0.7267 -0.2692 8.0033
F Tl H Tc
8 1 2 1
Direct
0.7682 0.7800 0.0077 F
0.7406 0.2511 0.2009 F
0.2594 0.7489 0.7991 F
0.3484 0.3181 0.6058 F
0.2318 0.2200 0.9923 F
0.2085 0.7711 0.1510 F
0.7915 0.2289 0.8490 F
0.6516 0.6819 0.3942 F
0.0000 0.0000 0.5000 Tl
0.3160 0.4676 0.6969 H
0.6840 0.5324 0.3031 H
0.0000 0.0000 0.0000 Tc
```

Results
The mass density is 4.1 Mg/m³. The calculation puts the total magnetization at 2.000 μB/f.u. Its raw total energy is -4.757 eV per atom.



[17]
First-principles (PBE) data for an optimized crystal structure of TeH2F, as listed in Alexandria.

POSCAR file:
```
TeH2F
1.0
4.0134 0.0000 0.0000
0.0000 4.0134 0.0000
2.0067 2.0067 6.4490
Te H F
2 4 2
Direct
0.7500 0.2500 0.5000 Te
0.0000 0.0000 0.0000 Te
0.9056 0.6250 0.2500 H
0.8444 0.1250 0.2500 H
0.8750 0.0944 0.7500 H
0.3750 0.1556 0.7500 H
0.2500 0.7500 0.5000 F
0.5000 0.5000 0.0000 F
```

Results
The mass density is 4.8 Mg/m³. The calculation puts the total magnetization at 0.000 μB/f.u. As for the polymorph energy (0 for the lowest one): 0 meV/atom.



[18]
First-principles (PBE) data for an optimized crystal structure of TeH2F6, as listed in Alexandria.

POSCAR file:
```
TeH2F6
1.0
4.6561 -0.0822 -0.0796
1.2470 7.3795 -0.4901
1.2470 -0.2507 7.3915
H F Te
4 12 2
Direct
0.5179 0.6648 0.6455 H
0.0179 0.6455 0.6648 H
0.9821 0.3545 0.3352 H
0.4821 0.3352 0.3545 H
0.3530 0.9750 0.2624 F
0.3268 0.7064 0.6112 F
0.1732 0.3888 0.2936 F
0.3568 0.3757 0.8420 F
0.8268 0.6112 0.7064 F
0.6732 0.2936 0.3888 F
0.6470 0.0250 0.7376 F
0.8530 0.2624 0.9750 F
0.8568 0.8420 0.3757 F
0.1470 0.7376 0.0250 F
0.6432 0.6243 0.1580 F
0.1432 0.1580 0.6243 F
0.7500 0.8539 0.1461 Te
0.2500 0.1461 0.8539 Te
```

Results
The mass density is 3.2 Mg/m³. The calculation puts the total magnetization at 0.000 μB/f.u. Its raw total energy is -4.139 eV per atom.



[19]
First-principles (PBE) data for an optimized crystal structure of TeHF4, as listed in Alexandria.

POSCAR file:
```
TeHF4
1.0
-0.6352 -4.8179 -4.1136
6.2325 -0.7609 1.0555
-3.7681 -0.1570 5.1297
F H Te
8 2 2
Direct
0.1659 0.4675 0.3017 F
0.7620 0.0878 0.6742 F
0.6142 0.4159 0.1983 F
0.4136 0.0878 0.3258 F
0.2175 0.4159 0.8017 F
0.1659 0.8642 0.6983 F
0.8378 0.0120 0.1742 F
0.8378 0.6636 0.8258 F
0.8358 0.8358 0.0000 H
0.5858 0.0858 0.5000 H
0.9068 0.4068 0.5000 Te
0.1568 0.1568 0.0000 Te
```

Results
The mass density is 3.6 Mg/m³. The calculation puts the total magnetization at 0.000 μB/f.u. Its raw total energy is -3.877 eV per atom.



[20]
First-principles (PBE) data for an optimized crystal structure of Te3HF, as listed in Alexandria.

POSCAR file:
```
Te3HF
1.0
4.5767 0.0000 0.0000
0.0000 4.5767 0.0000
0.0000 0.0000 4.5767
F Te H
1 3 1
Direct
0.5000 0.5000 0.5000 F
0.0000 0.0000 0.5000 Te
0.5000 0.0000 0.0000 Te
0.0000 0.5000 0.0000 Te
0.0000 0.0000 0.0000 H
```

Results
The mass density is 7.0 Mg/m³. The calculation puts the total magnetization at 0.000 μB/f.u. As for the polymorph energy (0 for the lowest one): 0 meV/atom.



[21]
First-principles (PBE) data for an optimized crystal structure of TeH2F8, as listed in Alexandria.

POSCAR file:
```
TeH2F8
1.0
5.2317 -0.3090 -0.2159
0.3832 5.6054 0.3132
0.3832 2.2231 5.1552
F Te H
8 1 2
Direct
0.6326 0.3748 0.3748 F
0.8510 0.3347 0.8890 F
0.3674 0.6252 0.6252 F
0.1490 0.6653 0.1110 F
0.1490 0.1110 0.6653 F
0.8510 0.8890 0.3347 F
0.2850 0.1144 0.1144 F
0.7150 0.8856 0.8856 F
0.0000 0.0000 0.0000 Te
0.4529 0.3802 0.3802 H
0.5471 0.6198 0.6198 H
```

Results
The mass density is 3.2 Mg/m³. The calculation puts the total magnetization at 0.109 μB/f.u. Its raw total energy is -4.063 eV per atom.



[22]
First-principles (PBE) data for an optimized crystal structure of TeH2F, as listed in Alexandria.

POSCAR file:
```
TeH2F
1.0
0.0000 2.6978 2.6978
2.6978 0.0000 2.6978
2.6978 2.6978 0.0000
Te F H
1 1 2
Direct
0.5000 0.5000 0.5000 Te
0.0000 0.0000 0.0000 F
0.7500 0.7500 0.7500 H
0.2500 0.2500 0.2500 H
```

Results
The mass density is 6.3 Mg/m³. The calculation puts the total magnetization at 0.000 μB/f.u. As for the polymorph energy (0 for the lowest one): 313 meV/atom.



[23]
First-principles (PBE) data for an optimized crystal structure of TeH2F2, as listed in Alexandria.

POSCAR file:
```
TeH2F2
1.0
4.2120 0.0000 0.0000
0.0000 4.2120 0.0000
2.1060 2.1060 3.2338
Te F H
1 2 2
Direct
0.0000 0.0000 0.0000 Te
0.2500 0.7500 0.5000 F
0.7500 0.2500 0.5000 F
0.5578 0.5578 0.8843 H
0.4422 0.4422 0.1157 H
```

Results
The mass density is 4.9 Mg/m³. The calculation puts the total magnetization at 1.527 μB/f.u. As for the polymorph energy (0 for the lowest one): 134 meV/atom.



[24]
First-principles (PBE) data for an optimized crystal structure of TeH2F2, as listed in Alexandria.

POSCAR file:
```
TeH2F2
1.0
6.2311 0.0000 0.0000
0.0000 6.2311 0.0000
0.0000 0.0000 2.8834
H F Te
4 4 2
Direct
0.4579 0.9579 0.0000 H
0.9579 0.5421 0.0000 H
0.5421 0.0421 0.0000 H
0.0421 0.4579 0.0000 H
0.2483 0.2517 0.5000 F
0.7517 0.7483 0.5000 F
0.7483 0.2483 0.5000 F
0.2517 0.7517 0.5000 F
0.5000 0.5000 0.0000 Te
0.0000 0.0000 0.0000 Te
```

Results
The mass density is 5.0 Mg/m³. The calculation puts the total magnetization at 0.000 μB/f.u. As for the polymorph energy (0 for the lowest one): 0 meV/atom.